This record from Alexandria via LeMat-Bulk describes a geometry-optimized BaOsRh3 structure. The functional is PBE-GGA.

a = 4.9568 Å, b = 4.9568 Å, c = 4.9568 Å
α = 90.00°, β = 90.00°, γ = 90.00°
Fractional coordinates of all 5 atoms:
Rh 0.5000 0.0000 0.0000
Ba 0.0000 0.0000 0.0000
Rh 0.0000 0.5000 0.0000
Os 0.5000 0.5000 0.5000
Rh 0.0000 0.0000 0.5000

The electronic total energy comes out at -4.41 eV/atom. Its space-group type is Pm-3m, No. 221. Its energy of formation from the pure elements is 2.6307 eV/atom. The relative energy among the computed polymorphs comes out at 2109 meV/atom.


This record from Alexandria via LeMat-Bulk describes a geometry-optimized TbP3Rh5 structure. The functional is PBE-GGA.

a = 3.8725 Å, b = 6.3358 Å, c = 12.2050 Å
α = 90.00°, β = 90.00°, γ = 107.79°
Fractional coordinates of all 18 atoms:
P 0.8837 0.7674 0.2500
Rh 0.2114 0.4228 0.9204
Rh 0.0000 0.0000 0.0000
Tb 0.8569 0.7139 0.7500
Rh 0.0000 0.0000 0.5000
P 0.6101 0.2202 0.4537
P 0.1163 0.2326 0.7500
Rh 0.7886 0.5772 0.4204
Tb 0.1431 0.2861 0.2500
Rh 0.5593 0.1186 0.8583
Rh 0.7886 0.5772 0.0796
P 0.3899 0.7798 0.9537
Rh 0.4407 0.8814 0.1417
Rh 0.5593 0.1186 0.6417
P 0.3899 0.7798 0.5463
P 0.6101 0.2202 0.0463
Rh 0.4407 0.8814 0.3583
Rh 0.2114 0.4228 0.5796

The electronic total energy comes out at -7.21 eV/atom. Its space-group type is Cmcm, No. 63. Its energy of formation from the pure elements is -0.8076 eV/atom.


This record from Alexandria via LeMat-Bulk describes a geometry-optimized MgTl2AgBr6 structure. The functional is PBE-GGA.

a = 7.4127 Å, b = 7.8975 Å, c = 10.4634 Å
α = 90.00°, β = 88.93°, γ = 90.00°
Fractional coordinates of all 20 atoms:
Br 0.8132 0.7969 0.5446
Ag 0.5000 0.0000 0.5000
Br 0.3972 0.9840 0.7490
Tl 0.0302 0.9178 0.2545
Mg 0.5000 0.0000 0.0000
Br 0.3132 0.7031 0.0446
Tl 0.5302 0.5822 0.7545
Br 0.1028 0.4840 0.7510
Br 0.8972 0.5160 0.2490
Mg 0.0000 0.5000 0.5000
Br 0.6868 0.2969 0.9554
Br 0.2098 0.1807 0.0484
Br 0.7902 0.8193 0.9516
Br 0.7098 0.3193 0.5484
Br 0.6028 0.0160 0.2510
Tl 0.9698 0.0822 0.7455
Br 0.1868 0.2031 0.4554
Ag 0.0000 0.5000 0.0000
Br 0.2902 0.6807 0.4516
Tl 0.4698 0.4178 0.2455

The electronic total energy comes out at -2.72 eV/atom. Its space-group type is P2_1/c, No. 14. As for the formation energy without anion corrections: -8.0 eV per formula unit.


This record from Alexandria via LeMat-Bulk describes a geometry-optimized Zr4Hg structure. The functional is PBE-GGA.

a = 4.2670 Å, b = 5.5527 Å, c = 5.5527 Å
α = 98.49°, β = 112.60°, γ = 67.40°
Fractional coordinates of all 5 atoms:
Zr 0.1921 0.1964 0.5807
Zr 0.6114 0.5807 0.8036
Hg 0.0000 0.0000 0.0000
Zr 0.8079 0.8036 0.4193
Zr 0.3886 0.4193 0.1964

The electronic total energy comes out at -6.98 eV/atom. Its space-group type is I4/m, No. 87. Its energy of formation from the pure elements is -0.0813 eV/atom. The relative energy among the computed polymorphs comes out at 0 meV/atom.


This record from Alexandria via LeMat-Bulk describes a geometry-optimized K2As2Br structure. The functional is PBE-GGA.

a = 6.3296 Å, b = 6.3296 Å, c = 6.5529 Å
α = 61.12°, β = 61.12°, γ = 90.00°
Fractional coordinates of all 5 atoms:
As 0.6149 0.6149 0.7702
K 0.7500 0.2500 0.5000
K 0.2500 0.7500 0.5000
Br 0.0000 0.0000 0.0000
As 0.3851 0.3851 0.2298

The electronic total energy comes out at -3.15 eV/atom. Its space-group type is I4/mmm, No. 139. As for the formation energy without anion corrections: -2.6 eV per formula unit. The relative energy among the computed polymorphs comes out at 274 meV/atom.


This record from Alexandria via LeMat-Bulk describes a geometry-optimized Tm8GaTc2 structure. The functional is PBE-GGA.

a = 5.3914 Å, b = 7.7198 Å, c = 7.7198 Å
α = 112.02°, β = 98.37°, γ = 98.37°
Fractional coordinates of all 11 atoms:
Tm 0.9997 0.2420 0.7644
Tm 0.1907 0.3790 0.3790
Tm 0.9997 0.7644 0.2420
Tc 0.4996 0.3197 0.6866
Tc 0.4996 0.6866 0.3197
Tm 0.5827 0.0670 0.3339
Tm 0.4162 0.9393 0.6727
Tm 0.4162 0.6727 0.9393
Ga 0.0039 0.0027 0.0027
Tm 0.5827 0.3339 0.0670
Tm 0.8086 0.6267 0.6267

The electronic total energy comes out at -5.55 eV/atom. Its space-group type is Cm, No. 8. Its energy of formation from the pure elements is -0.1402 eV/atom.